VASP calculation (GGA-PBE) on a geometry-optimized SrPm6Pr5 structure.

Geometry as CIF:
```
data_SrPm6Pr5
_chemical_formula_sum 'Sr2 Pm12 Pr10'
_cell_length_a 12.311
_cell_length_b 11.171
_cell_length_c 6.440
_cell_angle_alpha 90.00
_cell_angle_beta 100.07
_cell_angle_gamma 90.00
_space_group_name_H-M_alt 'C 1 2/m 1'
_space_group_IT_number 12
_space_group_name_Hall '-C 2y'
loop_
_atom_site_label
_atom_site_type_symbol
_atom_site_fract_x
_atom_site_fract_y
_atom_site_fract_z
Sr1 Sr 0.000 0.000 0.000
Pm1 Pm 0.245 0.329 0.746
Pm2 Pm 0.247 0.500 0.260
Pr1 Pr 0.000 0.173 0.500
Pr2 Pr 0.000 0.339 0.000
Pr3 Pr 0.000 0.500 0.500
```

Calculated values
VASP energy	-106.90	eV for the cell shown
energy of formation	0.6	eV/f.u.